A plane-wave DFT calculation with PBE was carried out for a relaxed structure of CeNd2Ga6.

The structure in POSCAR format:
```
CeNd2Ga6
1.0
-0.2081 4.2475 -0.3426
3.7286 -0.3330 -6.3951
-7.4012 -0.3630 -0.0031
Ce Nd Ga
1 2 6
Cartesian
0.0000 0.0000 0.0000
-3.6913 -0.3530 -2.1338
-0.1895 3.9045 -4.6070
-1.3256 1.8923 -2.2993
-2.5552 1.6593 -4.4415
-5.0437 1.8815 -0.1734
-5.0168 1.5385 -4.4425
1.1360 2.0130 -2.2982
-2.5657 2.0031 -0.1723
```

Its formation energy is -0.6520 eV per atom. Its electronic total energy is -4.389 eV/atom.